Density functional theory data (PBE) for crystalline CsRbHCl2 at its relaxed geometry.

Magnetization   0.02 μB per atom
Energy relative to the lowest polymorph listed for this composition   4.8 meV/atom

Unit cell a=4.208 b=5.811 c=5.941 alpha=90.00 beta=90.00 gamma=90.00
Space group Pmmm (No. 47)
Unique sites:
1 Cs 0.000 0.000 0.000 x1
2 Rb 0.000 0.500 0.500 x1
3 H 0.000 0.000 0.500 x1
4 Cl 0.500 0.000 0.500 x1
5 Cl 0.500 0.500 0.000 x1